# 1
Compound: Mg3In3Ni
Source: Alexandria via LeMat-Bulk
Functional: GGA-PBE
Structure: optimized geometry

abc: 8.8408 8.8408 4.4181
angles: 90.00 90.00 120.00
Space group P6_3/mmc (No. 194)
Unique sites:
Mg (0.1176, 0.5588, 0.2500) [6 per cell]
In (0.1532, 0.3064, 0.7500) [6 per cell]
Ni (0.3333, 0.6667, 0.7500) [2 per cell]

Results
Its crystal system is hexagonal.



# 2
Compound: CsNaCd2Ag
Source: Alexandria via LeMat-Bulk
Functional: GGA-PBE
Structure: optimized geometry

abc: 5.541 5.541 5.826
angles: 90.00 90.00 90.00
Space group P4/mmm (No. 123)
Unique sites:
Cs (0.000, 0.000, 0.000) [1 per cell]
Na (0.500, 0.500, 0.000) [1 per cell]
Cd (0.000, 0.500, 0.500) [2 per cell]
Ag (0.500, 0.500, 0.500) [1 per cell]

Results
Its crystal system is tetragonal.



# 3
Compound: Ca2MgCr
Source: Alexandria via LeMat-Bulk
Functional: GGA-PBE
Structure: optimized geometry

abc: 4.887 4.887 9.495
angles: 90.00 90.00 90.00
Space group I-4m2 (No. 119)
Unique sites:
Ca (0.000, 0.000, 0.000) [2 per cell]
Ca (0.000, 0.500, 0.250) [2 per cell]
Mg (0.000, 0.000, 0.500) [2 per cell]
Cr (0.000, 0.500, 0.750) [2 per cell]

Results
Its crystal system is tetragonal.



no.,density of states at the Fermi level (states/eV/cell),energy of formation from the pure elements (meV per atom)
1,4.654,-72
2,2.340,-3
3,5.344,347